The following is a PBE-GGA calculation of an optimized crystal structure of La2SiPtPb, from Alexandria via LeMat-Bulk.

Properties
Its total magnetization is 0.00 μB/f.u.

Lattice parameters (Å, degrees): 5.660 5.660 4.929 90.00 90.00 90.00
Space group P4/mmm (No. 123)
Inequivalent atoms, fractional coordinates:
La (0.000, 0.500, 0.000) x2
Si (0.000, 0.000, 0.000) x1
Pt (0.500, 0.500, 0.500) x1
Pb (0.000, 0.000, 0.500) x1

The following is a PBE-GGA calculation of an optimized crystal structure of SmCd4Au2, from Alexandria via LeMat-Bulk.

Properties
Its total magnetization is 0.00 μB/f.u. The excess energy over the best structure of this formula in the dataset is 0.041 eV per formula unit.

Lattice parameters (Å, degrees): 4.253 18.088 4.164 90.00 90.00 90.00
Space group Cmmm (No. 65)
Inequivalent atoms, fractional coordinates:
Sm (0.000, 0.000, 0.000) x2
Cd (0.000, 0.180, 0.500) x4
Cd (0.000, 0.315, 0.000) x4
Au (0.000, 0.426, 0.500) x4

The following is a PBE-GGA calculation of an optimized crystal structure of Mg3AlCr, from Alexandria via LeMat-Bulk.

Properties
Its total magnetization is 4.35 μB/f.u. The excess energy over the best structure of this formula in the dataset is 0.000 eV per formula unit.

Lattice parameters (Å, degrees): 5.188 5.188 5.188 90.00 90.00 90.00
Space group Pm-3m (No. 221)
Inequivalent atoms, fractional coordinates:
Mg (0.000, 0.000, 0.500) x3
Al (0.500, 0.500, 0.500) x1
Cr (0.000, 0.000, 0.000) x1

The following is a PBE-GGA calculation of an optimized crystal structure of Mg2Mo, from Alexandria via LeMat-Bulk.

Properties
Its total magnetization is 0.00 μB/f.u. The excess energy over the best structure of this formula in the dataset is 0.662 eV per formula unit.

Lattice parameters (Å, degrees): 2.809 4.004 9.681 90.00 90.00 90.00
Space group Immm (No. 71)
Inequivalent atoms, fractional coordinates:
Mg (0.000, 0.000, 0.164) x4
Mo (0.000, 0.000, 0.500) x2

The following is a PBE-GGA calculation of an optimized crystal structure of SiHg2Rh, from Alexandria via LeMat-Bulk.

Properties
Its total magnetization is 0.00 μB/f.u.

Lattice parameters (Å, degrees): 4.231 3.686 5.364 90.00 112.72 90.00
Space group Pm (No. 6)
Inequivalent atoms, fractional coordinates:
Si (0.000, 0.000, 0.000) x1
Hg (0.429, 0.500, 0.856) x1
Hg (0.728, 0.000, 0.458) x1
Rh (0.140, 0.500, 0.280) x1

The following is a PBE-GGA calculation of an optimized crystal structure of Dy2Cr2C3, from Alexandria via LeMat-Bulk.

Properties
Its total magnetization is 0.00 μB/f.u.

Lattice parameters (Å, degrees): 10.403 3.392 5.566 90.00 105.85 90.00
Space group C2/m (No. 12)
Inequivalent atoms, fractional coordinates:
Dy (0.105, 0.000, 0.316) x4
Cr (0.157, 0.500, 0.890) x4
C (0.000, 0.500, 0.000) x2
C (0.213, 0.000, 0.771) x4

The following is a PBE-GGA calculation of an optimized crystal structure of Ce3PaSi4, from Alexandria via LeMat-Bulk.

Properties
Its total magnetization is 0.56 μB/f.u.

Lattice parameters (Å, degrees): 4.053 6.387 15.296 90.00 90.00 90.00
Space group Immm (No. 71)
Inequivalent atoms, fractional coordinates:
Ce (0.000, 0.000, 0.000) x2
Ce (0.000, 0.500, 0.189) x4
Pa (0.000, 0.000, 0.500) x2
Si (0.000, 0.314, 0.370) x8

The following is a PBE-GGA calculation of an optimized crystal structure of Nd6SnRu2Br3, from Alexandria via LeMat-Bulk.

Properties
Its total magnetization is 0.00 μB/f.u.

Lattice parameters (Å, degrees): 7.349 12.759 8.160 90.00 107.58 90.00
Space group C2/m (No. 12)
Inequivalent atoms, fractional coordinates:
Nd (0.198, 0.000, 0.204) x4
Nd (0.248, 0.185, 0.796) x8
Sn (0.000, 0.500, 0.000) x2
Ru (0.000, 0.167, 0.000) x4
Br (0.000, 0.000, 0.500) x2
Br (0.000, 0.336, 0.500) x4

The following is a PBE-GGA calculation of an optimized crystal structure of Ho8Ge3AuSe4, from Alexandria via LeMat-Bulk.

Properties
Its total magnetization is 0.00 μB/f.u.

Lattice parameters (Å, degrees): 8.1944 8.1944 20.3705 90.00 90.00 120.00
Space group R-3m (No. 166, hexagonal axes)
Inequivalent atoms, fractional coordinates:
Ho (0.0000, 0.0000, 0.2456) x6
Ho (0.0077, 0.5038, 0.7523) x18
Ge (0.0000, 0.5000, 0.5000) x9
Au (0.0000, 0.0000, 0.5000) x3
Se (0.0000, 0.0000, 0.0000) x3
Se (0.0000, 0.5000, 0.0000) x9

The following is a PBE-GGA calculation of an optimized crystal structure of AcCe2Bi2, from Alexandria via LeMat-Bulk.

Properties
Its total magnetization is 1.84 μB/f.u.

Lattice parameters (Å, degrees): 6.416 6.429 8.626 90.00 110.85 90.00
Space group C2/m (No. 12)
Inequivalent atoms, fractional coordinates:
Ac (0.000, 0.000, 0.000) x2
Ce (0.000, 0.224, 0.500) x4
Bi (0.089, 0.500, 0.208) x4

The following is a PBE-GGA calculation of an optimized crystal structure of PmMg3Tl2F12, from Alexandria via LeMat-Bulk.

Properties
Its total magnetization is 0.52 μB/f.u.

Lattice parameters (Å, degrees): 7.4720 7.4720 15.5226 90.00 90.00 120.00
Space group R-3m (No. 166, hexagonal axes)
Inequivalent atoms, fractional coordinates:
Pm (0.0000, 0.0000, 0.0000) x3
Mg (0.0000, 0.5000, 0.5000) x9
Tl (0.0000, 0.0000, 0.3931) x6
F (0.0473, 0.5236, 0.3730) x18
F (0.0961, 0.5481, 0.8011) x18

The following is a PBE-GGA calculation of an optimized crystal structure of CsOF3, from Alexandria via LeMat-Bulk.

Properties
Its total magnetization is 0.00 μB/f.u. The excess energy over the best structure of this formula in the dataset is 0.701 eV per formula unit.

Lattice parameters (Å, degrees): 4.890 7.001 5.852 90.00 91.53 90.00
Space group P2_1/m (No. 11)
Inequivalent atoms, fractional coordinates:
Cs (0.184, 0.250, 0.247) x2
O (0.412, 0.250, 0.751) x2
F (0.289, 0.750, 0.249) x2
F (0.305, 0.008, 0.749) x4

The following is a PBE-GGA calculation of an optimized crystal structure of Dy5Ag2Os2, from Alexandria via LeMat-Bulk.

Properties
Its total magnetization is 0.00 μB/f.u.

Lattice parameters (Å, degrees): 15.715 7.452 7.564 90.00 90.00 90.00
Space group Cmce (No. 64)
Inequivalent atoms, fractional coordinates:
Dy (0.000, 0.000, 0.000) x4
Dy (0.125, 0.179, 0.319) x16
Ag (0.217, 0.000, 0.000) x8
Os (0.000, 0.117, 0.619) x8

The following is a PBE-GGA calculation of an optimized crystal structure of BaPO2, from Alexandria via LeMat-Bulk.

Properties
Its total magnetization is 0.00 μB/f.u.

Lattice parameters (Å, degrees): 4.2867 4.2867 16.4950 90.00 90.00 120.00
Space group R-3m (No. 166, hexagonal axes)
Inequivalent atoms, fractional coordinates:
Ba (0.0000, 0.0000, 0.0000) x3
P (0.0000, 0.0000, 0.5000) x3
O (0.0000, 0.0000, 0.4005) x6

The following is a PBE-GGA calculation of an optimized crystal structure of Zr3AgAu, from Alexandria via LeMat-Bulk.

Properties
Its total magnetization is 0.00 μB/f.u. The excess energy over the best structure of this formula in the dataset is 0.000 eV per formula unit.

Lattice parameters (Å, degrees): 5.173 5.173 5.173 90.00 90.00 90.00
Space group Pm-3m (No. 221)
Inequivalent atoms, fractional coordinates:
Zr (0.000, 0.000, 0.500) x3
Ag (0.500, 0.500, 0.500) x1
Au (0.000, 0.000, 0.000) x1

The following is a PBE-GGA calculation of an optimized crystal structure of CdNiMo2, from Alexandria via LeMat-Bulk.

Properties
Its total magnetization is 0.00 μB/f.u.

Lattice parameters (Å, degrees): 2.680 4.344 5.452 90.00 97.01 90.00
Space group Pm (No. 6)
Inequivalent atoms, fractional coordinates:
Cd (0.000, 0.000, 0.000) x1
Ni (0.010, 0.500, 0.730) x1
Mo (0.392, 0.000, 0.516) x1
Mo (0.595, 0.500, 0.272) x1

Number 1: volume 31.6 Å³/atom, uncorrected energy -24.71 eV per formula unit, N(E_F) 0.735 states/eV per atom. Number 2: volume 22.9 Å³/atom, uncorrected energy -17.33 eV per formula unit, N(E_F) 0.505 states/eV per atom. Number 3: volume 27.9 Å³/atom, uncorrected energy -13.89 eV per formula unit, N(E_F) 0.742 states/eV per atom. Number 4: volume 18.1 Å³/atom, uncorrected energy -12.69 eV per formula unit, N(E_F) 0.875 states/eV per atom. Number 5: volume 19.3 Å³/atom, uncorrected energy -13.19 eV per formula unit, N(E_F) 0.530 states/eV per atom. Number 6: volume 13.5 Å³/atom, uncorrected energy -58.34 eV per formula unit, N(E_F) 0.638 states/eV per atom. Number 7: volume 24.7 Å³/atom, uncorrected energy -52.41 eV per formula unit, N(E_F) 1.606 states/eV per atom. Number 8: volume 30.4 Å³/atom, uncorrected energy -66.34 eV per formula unit, N(E_F) 0.463 states/eV per atom. Number 9: volume 24.7 Å³/atom, uncorrected energy -89.00 eV per formula unit, N(E_F) 0.422 states/eV per atom. Number 10: volume 33.3 Å³/atom, uncorrected energy -26.55 eV per formula unit, N(E_F) 2.190 states/eV per atom. Number 11: volume 13.9 Å³/atom, uncorrected energy -92.64 eV per formula unit, N(E_F) 0.326 states/eV per atom. Number 12: volume 20.0 Å³/atom, uncorrected energy -16.82 eV per formula unit, N(E_F) 0.000 states/eV per atom. Number 13: volume 24.6 Å³/atom, uncorrected energy -53.52 eV per formula unit, N(E_F) 0.691 states/eV per atom. Number 14: volume 21.9 Å³/atom, uncorrected energy -23.67 eV per formula unit, N(E_F) 0.548 states/eV per atom. Number 15: volume 27.7 Å³/atom, uncorrected energy -28.19 eV per formula unit, N(E_F) 2.608 states/eV per atom. Number 16: volume 15.7 Å³/atom, uncorrected energy -27.19 eV per formula unit, N(E_F) 0.715 states/eV per atom.